Record 1
The following is a PBE-GGA calculation of a geometry-optimized CsRb14Pd structure, from Alexandria via LeMat-Bulk.

Cell lengths 13.0694, 13.0602, 15.9150 Å; angles 90.00, 90.00, 90.00 degrees
Space group Amm2 (No. 38)
Inequivalent atoms, fractional coordinates:
Cs: 0.0000 0.0000 0.0000
Rb: 0.0000 0.2412 0.7450
Rb: 0.1763 0.1679 0.5099
Rb: 0.2247 0.0000 0.7595
Rb: 0.2605 0.0000 0.2283
Rb: 0.5000 0.0000 0.4782
Rb: 0.5000 0.0000 0.9888
Rb: 0.5000 0.2296 0.7330
Pd: 0.0000 0.0000 0.6350

Computed properties:
E_form   0.054 eV/atom
Final energy   -1.17 eV per atom
DOS(E_F)   13.68 states/eV/f.u.

Record 2
The following is a PBE-GGA calculation of a geometry-optimized MnSnIrSe structure, from Alexandria via LeMat-Bulk.

Cell lengths 6.7073, 3.8718, 7.3547 Å; angles 90.00, 107.95, 90.00 degrees
Space group Cm (No. 8)
Inequivalent atoms, fractional coordinates:
Mn: 0.0000 0.0000 0.0000
Sn: 0.3603 0.5000 0.5871
Ir: 0.0955 0.5000 0.7899
Se: 0.2208 0.5000 0.1611

Computed properties:
Final energy   -6.46 eV per atom
DOS(E_F)   3.05 states/eV/f.u.

Record 3
The following is a PBE-GGA calculation of a geometry-optimized SrTl2Cl structure, from Alexandria via LeMat-Bulk.

Cell lengths 4.2059, 6.6748, 9.9725 Å; angles 90.00, 90.00, 90.00 degrees
Space group Cmmm (No. 65)
Inequivalent atoms, fractional coordinates:
Sr: 0.0000 0.0000 0.0000
Tl: 0.0000 0.5000 0.2820
Cl: 0.0000 0.0000 0.5000

Computed properties:
Final energy   -2.43 eV per atom
DOS(E_F)   2.06 states/eV/f.u.

Record 4
The following is a PBE-GGA calculation of a geometry-optimized HfSe3S structure, from Alexandria via LeMat-Bulk.

Cell lengths 5.1805, 5.1805, 5.1805 Å; angles 90.00, 90.00, 90.00 degrees
Space group Pm-3m (No. 221)
Inequivalent atoms, fractional coordinates:
Hf: 0.0000 0.0000 0.0000
Se: 0.0000 0.0000 0.5000
S: 0.5000 0.5000 0.5000

Computed properties:
Final energy   -4.85 eV per atom
DOS(E_F)   6.20 states/eV/f.u.